<i>
Pu2CrFe | PBE | optimized geometry

Results
The total magnetization comes out at 5.52 μB per formula unit.

Structure (CIF):
```
data_Pu2CrFe
_symmetry_space_group_name_H-M 'P 1'
_symmetry_Int_Tables_number 1
_symmetry_space_group_name_Hall 'P 1'
_cell_length_a 4.713
_cell_length_b 4.713
_cell_length_c 4.713
_cell_angle_alpha 60.00
_cell_angle_beta 60.00
_cell_angle_gamma 60.00
loop_
_atom_site_label
_atom_site_type_symbol
_atom_site_fract_x
_atom_site_fract_y
_atom_site_fract_z
Cr1 Cr 0.500 0.500 0.500
Fe1 Fe 0.000 0.000 0.000
Pu1 Pu 0.250 0.250 0.250
Pu2 Pu 0.750 0.750 0.750
```

<ii>
Pu2CrFe | PBE | optimized geometry

Results
The total magnetization comes out at 5.92 μB per formula unit.

Structure (CIF):
```
data_Pu2CrFe
_symmetry_space_group_name_H-M 'P 1'
_symmetry_Int_Tables_number 1
_symmetry_space_group_name_Hall 'P 1'
_cell_length_a 3.199
_cell_length_b 3.199
_cell_length_c 7.219
_cell_angle_alpha 90.00
_cell_angle_beta 90.00
_cell_angle_gamma 90.00
loop_
_atom_site_label
_atom_site_type_symbol
_atom_site_fract_x
_atom_site_fract_y
_atom_site_fract_z
Cr1 Cr 0.500 0.500 0.500
Fe1 Fe 0.500 0.500 0.000
Pu1 Pu 0.000 0.000 0.758
Pu2 Pu 0.000 0.000 0.242
```

The data favor <ii>; the next most stable structure lies 12 meV per atom above it.

<i>
RbCr3Fe | PBE | optimized geometry

Results
The total magnetization comes out at 9.31 μB per formula unit.

Structure (CIF):
```
data_RbCr3Fe
_symmetry_space_group_name_H-M 'P 1'
_symmetry_Int_Tables_number 1
_symmetry_space_group_name_Hall 'P 1'
_cell_length_a 4.757
_cell_length_b 4.757
_cell_length_c 4.757
_cell_angle_alpha 90.00
_cell_angle_beta 90.00
_cell_angle_gamma 90.00
loop_
_atom_site_label
_atom_site_type_symbol
_atom_site_fract_x
_atom_site_fract_y
_atom_site_fract_z
Cr1 Cr 0.000 0.500 0.000
Cr2 Cr 0.000 0.000 0.500
Cr3 Cr 0.500 0.000 0.000
Fe1 Fe 0.000 0.000 0.000
Rb1 Rb 0.500 0.500 0.500
```

<ii>
RbCr3Fe | PBE | optimized geometry

Results
The total magnetization comes out at 3.29 μB per formula unit.

Structure (CIF):
```
data_RbCr3Fe
_symmetry_space_group_name_H-M 'P 1'
_symmetry_Int_Tables_number 1
_symmetry_space_group_name_Hall 'P 1'
_cell_length_a 4.340
_cell_length_b 4.340
_cell_length_c 4.340
_cell_angle_alpha 90.00
_cell_angle_beta 90.00
_cell_angle_gamma 90.00
loop_
_atom_site_label
_atom_site_type_symbol
_atom_site_fract_x
_atom_site_fract_y
_atom_site_fract_z
Cr1 Cr 0.000 0.500 0.000
Cr2 Cr 0.000 0.000 0.500
Cr3 Cr 0.500 0.000 0.000
Fe1 Fe 0.500 0.500 0.500
Rb1 Rb 0.000 0.000 0.000
```

The data favor <i>; the next most stable structure lies 2101 meV per atom above it.

<i>
RbCr2Fe | PBE | optimized geometry

Results
The total magnetization comes out at 6.47 μB per formula unit.

Structure (CIF):
```
data_RbCr2Fe
_symmetry_space_group_name_H-M 'P 1'
_symmetry_Int_Tables_number 1
_symmetry_space_group_name_Hall 'P 1'
_cell_length_a 5.917
_cell_length_b 5.917
_cell_length_c 8.149
_cell_angle_alpha 68.71
_cell_angle_beta 68.71
_cell_angle_gamma 90.00
loop_
_atom_site_label
_atom_site_type_symbol
_atom_site_fract_x
_atom_site_fract_y
_atom_site_fract_z
Cr1 Cr 0.375 0.125 0.250
Cr2 Cr 0.375 0.625 0.250
Cr3 Cr 0.375 0.625 0.750
Cr4 Cr 0.875 0.625 0.750
Fe1 Fe 0.500 0.500 0.000
Fe2 Fe 0.250 0.750 0.500
Rb1 Rb 0.000 0.000 0.000
Rb2 Rb 0.750 0.250 0.500
```

<ii>
RbCr2Fe | PBE | optimized geometry

Results
The total magnetization comes out at 0.00 μB per formula unit.

Structure (CIF):
```
data_RbCr2Fe
_symmetry_space_group_name_H-M 'P 1'
_symmetry_Int_Tables_number 1
_symmetry_space_group_name_Hall 'P 1'
_cell_length_a 4.366
_cell_length_b 4.366
_cell_length_c 4.366
_cell_angle_alpha 60.00
_cell_angle_beta 60.00
_cell_angle_gamma 60.00
loop_
_atom_site_label
_atom_site_type_symbol
_atom_site_fract_x
_atom_site_fract_y
_atom_site_fract_z
Cr1 Cr 0.250 0.250 0.250
Cr2 Cr 0.750 0.750 0.750
Fe1 Fe 0.000 0.000 0.000
Rb1 Rb 0.500 0.500 0.500
```

The data favor <i>; the next most stable structure lies 691 meV per atom above it.